12
Lattice="6.9216 -2.8134 0.0000 6.9216 2.8134 0.0000 -5.8429 0.0000 8.1379" Properties=species:S:1:pos:R:3 comment="Pm7TlIr4 | the Alexandria database | PBE | relaxed" dft_energy_ev_per_atom=-6.29 ef_mev_per_atom=-364 pbc="T T T"
Pm 0.0000 0.0000 0.0000
Pm -1.2190 0.0000 5.0373
Pm 3.2858 0.0000 1.0108
Pm 2.1621 0.0000 5.1367
Pm 5.8382 0.0000 3.0011
Pm 4.7145 0.0000 7.1270
Pm 9.2193 0.0000 3.1006
Tl 6.9216 0.0000 0.0000
Ir -3.6168 0.0000 6.3400
Ir 0.8593 0.0000 2.7443
Ir 7.1410 0.0000 5.3936
Ir 11.6171 0.0000 1.7978